one.
Compound: LiPaOs2
Source: Alexandria
Functional: PBE
Structure: optimized geometry

a b c (Å): 3.8908 4.1153 4.1153
angles (deg): 90.00 90.00 90.00
Closest atoms and distances in Å follow each position.
Fractional positions:
Os  0.0000  0.0000  0.5000  4 Li 2.83, 4 Pa 2.83, 4 Os 2.91
Os  0.0000  0.5000  0.0000  4 Pa 2.83, 4 Li 2.83, 4 Os 2.91
Pa  0.5000  0.0000  0.0000  8 Os 2.83, 4 Li 2.91
Li  0.5000  0.5000  0.5000  8 Os 2.83, 4 Pa 2.91

Properties
As for the calculated volume: 65.9 Å³/cell. Its crystal system is tetragonal. As for the space group: No. 123. The value obtained for the density of states at the Fermi level is 4.11 states/eV per cell.


two.
Compound: LiPaOs2
Source: Alexandria
Functional: PBE
Structure: optimized geometry

a b c (Å): 4.5832 4.5832 4.5832
angles (deg): 60.00 60.00 60.00
Closest atoms and distances in Å follow each position.
Fractional positions:
Li  0.5000  0.5000  0.5000  8 Os 2.81
Pa  0.0000  0.0000  0.0000  8 Os 2.81
Os  0.7500  0.7500  0.7500  4 Li 2.81, 4 Pa 2.81
Os  0.2500  0.2500  0.2500  4 Pa 2.81, 4 Li 2.81

Properties
As for the calculated volume: 68.1 Å³/cell. Its crystal system is cubic. As for the space group: No. 225. The value obtained for the density of states at the Fermi level is 2.45 states/eV per cell.


Least stable of them? two.